(1)
{
  "formula": "MgSiSN2",
  "functional": "GGA-PBEsol",
  "state": "relaxed",
  "magmom_total_mub_per_fu": 3.61,
  "density_g_cm3": 2.4,
  "final_energy_ev_per_atom": -4.4522,
  "e_form_raw_ev_per_fu": 6.64,
  "lattice": [[3.948, 0.000, 0.000], [0.000, 3.948, 0.000], [0.000, 0.000, 4.979]],
  "species": ["Mg", "Si", "S", "N", "N"],
  "frac_coords": [[0.000, 0.000, 0.000], [0.500, 0.500, 0.500], [0.000, 0.000, 0.500], [0.000, 0.500, 0.000], [0.500, 0.000, 0.000]]
}



(2)
{
  "formula": "SrY2Ru",
  "functional": "GGA-PBEsol",
  "state": "relaxed",
  "formation_energy_ev_per_fu": -0.5,
  "magmom_total_mub_per_fu": 0.00,
  "density_g_cm3": 5.3,
  "final_energy_ev_per_atom": -6.5404,
  "lattice": [[3.423, 0.000, 0.000], [0.000, 3.423, 0.000], [0.000, 0.000, 9.760]],
  "species": ["Sr", "Y", "Y", "Ru"],
  "frac_coords": [[0.000, 0.000, 0.000], [0.500, 0.500, 0.335], [0.500, 0.500, 0.665], [0.000, 0.000, 0.500]]
}



(3)
{
  "formula": "ZrTeP",
  "functional": "GGA-PBEsol",
  "state": "relaxed",
  "magmom_total_mub_per_fu": 0.00,
  "density_g_cm3": 5.7,
  "final_energy_ev_per_atom": -6.4729,
  "e_form_raw_ev_per_fu": -1.01,
  "lattice": [[0.000, 3.312, 3.312], [3.312, 0.000, 3.312], [3.312, 3.312, 0.000]],
  "species": ["Zr", "Te", "P"],
  "frac_coords": [[0.000, 0.000, 0.000], [0.250, 0.250, 0.250], [0.750, 0.750, 0.750]]
}



(4)
{
  "formula": "YZnPt2",
  "functional": "GGA-PBEsol",
  "state": "relaxed",
  "formation_energy_ev_per_fu": -3.4,
  "magmom_total_mub_per_fu": 0.00,
  "density_g_cm3": 13.3,
  "final_energy_ev_per_atom": -6.4266,
  "lattice": [[-2.083, 2.088, 3.895], [2.083, -2.088, 3.895], [2.083, 2.088, -3.895]],
  "species": ["Y", "Zn", "Pt", "Pt"],
  "frac_coords": [[0.000, 0.000, 0.000], [0.500, 0.500, 0.000], [0.250, 0.750, 0.500], [0.750, 0.250, 0.500]]
}



(5)
{
  "formula": "YCrTe",
  "functional": "GGA-PBEsol",
  "state": "relaxed",
  "magmom_total_mub_per_fu": 3.47,
  "density_g_cm3": 6.7,
  "final_energy_ev_per_atom": -7.1043,
  "e_form_raw_ev_per_fu": -0.72,
  "lattice": [[4.511, 0.000, 0.000], [-2.256, 3.907, 0.000], [0.000, 0.000, 3.802]],
  "species": ["Y", "Cr", "Te"],
  "frac_coords": [[0.000, 0.000, 0.000], [0.667, 0.333, 0.500], [0.333, 0.667, 0.500]]
}



(6)
{
  "formula": "Tc2Rh",
  "functional": "GGA-PBEsol",
  "state": "relaxed",
  "formation_energy_ev_per_fu": -0.4,
  "magmom_total_mub_per_fu": 0.00,
  "density_g_cm3": 12.1,
  "final_energy_ev_per_atom": -10.3570,
  "de_polymorph_ev_per_atom": 0.001,
  "lattice": [[4.908, -1.348, 0.000], [4.908, 1.348, 0.000], [-1.491, 0.000, 6.215]],
  "species": ["Tc", "Tc", "Tc", "Tc", "Rh", "Rh"],
  "frac_coords": [[0.141, 0.141, 0.023], [0.192, 0.192, 0.640], [0.808, 0.808, 0.360], [0.859, 0.859, 0.977], [0.471, 0.471, 0.696], [0.529, 0.529, 0.304]]
}



(7)
{
  "formula": "Ce",
  "functional": "GGA-PBEsol",
  "state": "relaxed",
  "formation_energy_ev_per_fu": 0.1,
  "magmom_total_mub_per_fu": 0.00,
  "density_g_cm3": 9.9,
  "final_energy_ev_per_atom": -6.5111,
  "de_polymorph_ev_per_atom": 0.085,
  "lattice": [[3.105, 0.000, 0.000], [-1.552, 2.689, 0.000], [0.000, 0.000, 5.636]],
  "species": ["Ce", "Ce"],
  "frac_coords": [[0.333, 0.667, 0.250], [0.667, 0.333, 0.750]]
}



(8)
{
  "formula": "TaCdP2",
  "functional": "GGA-PBEsol",
  "state": "relaxed",
  "formation_energy_ev_per_fu": -0.8,
  "magmom_total_mub_per_fu": 0.00,
  "density_g_cm3": 8.0,
  "final_energy_ev_per_atom": -6.5340,
  "lattice": [[6.342, -1.648, 0.000], [6.342, 1.648, 0.000], [-0.011, 0.000, 3.549]],
  "species": ["Ta", "Cd", "P", "P"],
  "frac_coords": [[0.000, 0.000, 0.000], [0.228, 0.228, 0.503], [0.430, 0.430, 0.499], [0.646, 0.646, 0.002]]
}



(9)
{
  "formula": "BaYOs",
  "functional": "GGA-PBEsol",
  "state": "relaxed",
  "formation_energy_ev_per_fu": 1.5,
  "magmom_total_mub_per_fu": 0.00,
  "density_g_cm3": 7.1,
  "final_energy_ev_per_atom": -6.5497,
  "lattice": [[4.259, 0.000, 0.000], [-2.130, 3.689, 0.000], [0.000, 0.000, 6.186]],
  "species": ["Ba", "Y", "Os"],
  "frac_coords": [[0.000, 0.000, 0.000], [0.667, 0.333, 0.525], [0.333, 0.667, 0.705]]
}



(10)
{
  "formula": "CrHgAs2",
  "functional": "GGA-PBEsol",
  "state": "relaxed",
  "formation_energy_ev_per_fu": 1.6,
  "magmom_total_mub_per_fu": 3.41,
  "density_g_cm3": 9.2,
  "final_energy_ev_per_atom": -4.8540,
  "lattice": [[-1.976, 1.976, 4.640], [1.976, -1.976, 4.640], [1.976, 1.976, -4.640]],
  "species": ["Cr", "Hg", "As", "As"],
  "frac_coords": [[0.000, 0.000, 0.000], [0.750, 0.250, 0.500], [0.250, 0.750, 0.500], [0.500, 0.500, 0.000]]
}



(11)
{
  "formula": "Ag6SnSb",
  "functional": "GGA-PBEsol",
  "state": "relaxed",
  "magmom_total_mub_per_fu": 0.00,
  "density_g_cm3": 10.1,
  "final_energy_ev_per_atom": -3.6003,
  "e_form_raw_ev_per_fu": -0.12,
  "lattice": [[4.749, 0.000, 0.000], [0.000, 5.963, 0.000], [0.000, 0.000, 5.171]],
  "species": ["Ag", "Ag", "Ag", "Ag", "Ag", "Ag", "Sn", "Sb"],
  "frac_coords": [[0.000, 0.000, 0.000], [0.000, 0.246, 0.510], [0.000, 0.754, 0.510], [0.500, 0.248, 0.832], [0.500, 0.500, 0.351], [0.500, 0.752, 0.832], [0.500, 0.000, 0.335], [0.000, 0.500, 0.003]]
}



(12)
{
  "formula": "LaRh2Pb",
  "functional": "GGA-PBEsol",
  "state": "relaxed",
  "formation_energy_ev_per_fu": -2.0,
  "magmom_total_mub_per_fu": 0.00,
  "density_g_cm3": 11.3,
  "final_energy_ev_per_atom": -6.8956,
  "lattice": [[4.161, 0.000, 0.000], [0.000, 1.897, 5.131], [0.000, -1.897, 5.131]],
  "species": ["La", "Rh", "Rh", "Pb"],
  "frac_coords": [[0.000, 0.000, 0.000], [0.000, 0.272, 0.272], [0.500, 0.442, 0.442], [0.500, 0.715, 0.715]]
}



(13)
{
  "formula": "BeCdN2O",
  "functional": "GGA-PBEsol",
  "state": "relaxed",
  "magmom_total_mub_per_fu": 2.67,
  "density_g_cm3": 3.9,
  "final_energy_ev_per_atom": -3.5420,
  "e_form_raw_ev_per_fu": 9.79,
  "lattice": [[4.121, 0.000, 0.000], [0.000, 4.121, 0.000], [0.000, 0.000, 4.122]],
  "species": ["Be", "Cd", "N", "N", "O"],
  "frac_coords": [[0.000, 0.000, 0.000], [0.500, 0.500, 0.500], [0.000, 0.500, 0.500], [0.500, 0.000, 0.500], [0.500, 0.500, 0.000]]
}



(14)
{
  "formula": "NaGePCO7",
  "functional": "GGA-PBEsol",
  "state": "relaxed",
  "magmom_total_mub_per_fu": 0.03,
  "density_g_cm3": 3.1,
  "final_energy_ev_per_atom": -7.1366,
  "e_form_raw_ev_per_fu": -19.98,
  "lattice": [[4.901, 0.000, 0.000], [0.000, 6.163, 0.000], [-0.334, 0.000, 8.934]],
  "species": ["Na", "Na", "Ge", "Ge", "P", "P", "C", "C", "O", "O", "O", "O", "O", "O", "O", "O", "O", "O", "O", "O", "O", "O"],
  "frac_coords": [[0.058, 0.000, 0.384], [0.942, 0.500, 0.616], [0.240, 0.498, 0.161], [0.760, 0.998, 0.839], [0.283, 0.998, 0.066], [0.717, 0.498, 0.934], [0.389, 0.498, 0.415], [0.611, 0.998, 0.585], [0.107, 0.998, 0.922], [0.125, 0.498, 0.369], [0.226, 0.192, 0.169], [0.226, 0.805, 0.169], [0.415, 0.498, 0.980], [0.453, 0.998, 0.701], [0.465, 0.499, 0.549], [0.535, 0.999, 0.451], [0.547, 0.498, 0.299], [0.585, 0.998, 0.020], [0.774, 0.305, 0.831], [0.774, 0.692, 0.831], [0.875, 0.998, 0.631], [0.893, 0.498, 0.078]]
}



(15)
{
  "formula": "Tl2TcAu",
  "functional": "GGA-PBEsol",
  "state": "relaxed",
  "formation_energy_ev_per_fu": 2.4,
  "magmom_total_mub_per_fu": 0.86,
  "density_g_cm3": 14.9,
  "final_energy_ev_per_atom": -4.5218,
  "de_polymorph_ev_per_atom": 0.062,
  "lattice": [[1.571, -2.671, 0.000], [1.571, 2.671, 0.000], [0.000, 0.000, 9.334]],
  "species": ["Tl", "Tl", "Tc", "Au"],
  "frac_coords": [[0.000, 0.000, 0.242], [0.000, 0.000, 0.758], [0.500, 0.500, 0.000], [0.500, 0.500, 0.500]]
}



(16)
{
  "formula": "KCd2In2",
  "functional": "GGA-PBEsol",
  "state": "relaxed",
  "formation_energy_ev_per_fu": -0.4,
  "magmom_total_mub_per_fu": 0.00,
  "density_g_cm3": 5.9,
  "final_energy_ev_per_atom": -1.9732,
  "de_polymorph_ev_per_atom": 0.000,
  "lattice": [[-2.391, 2.391, 6.097], [2.391, -2.391, 6.097], [2.391, 2.391, -6.097]],
  "species": ["K", "Cd", "Cd", "In", "In"],
  "frac_coords": [[0.000, 0.000, 0.000], [0.250, 0.750, 0.500], [0.750, 0.250, 0.500], [0.383, 0.383, 0.000], [0.617, 0.617, 0.000]]
}



(17)
{
  "formula": "La2ZnNi",
  "functional": "GGA-PBEsol",
  "state": "relaxed",
  "formation_energy_ev_per_fu": -1.0,
  "magmom_total_mub_per_fu": 0.00,
  "density_g_cm3": 6.9,
  "final_energy_ev_per_atom": -4.8494,
  "lattice": [[3.895, 0.000, 0.000], [0.000, 4.457, 0.000], [-1.914, 0.000, 5.532]],
  "species": ["La", "La", "Zn", "Ni"],
  "frac_coords": [[0.000, 0.000, 0.000], [0.275, 0.500, 0.557], [0.704, 0.000, 0.414], [0.587, 0.500, 0.179]]
}



(18)
{
  "formula": "CoP2WS",
  "functional": "GGA-PBEsol",
  "state": "relaxed",
  "magmom_total_mub_per_fu": 2.30,
  "density_g_cm3": 5.7,
  "final_energy_ev_per_atom": -6.5178,
  "e_form_raw_ev_per_fu": 4.92,
  "lattice": [[4.674, 0.000, 0.000], [0.000, 4.674, 0.000], [0.000, 0.000, 4.531]],
  "species": ["Co", "P", "P", "W", "S"],
  "frac_coords": [[0.000, 0.000, 0.000], [0.000, 0.500, 0.500], [0.500, 0.000, 0.500], [0.500, 0.500, 0.500], [0.500, 0.500, 0.000]]
}



(19)
{
  "formula": "CsTi3F",
  "functional": "GGA-PBEsol",
  "state": "relaxed",
  "magmom_total_mub_per_fu": 0.00,
  "density_g_cm3": 5.7,
  "final_energy_ev_per_atom": -5.1549,
  "e_form_raw_ev_per_fu": 2.06,
  "lattice": [[4.412, 0.000, 0.000], [0.000, 4.412, 0.000], [0.000, 0.000, 4.412]],
  "species": ["Cs", "Ti", "Ti", "Ti", "F"],
  "frac_coords": [[0.000, 0.000, 0.000], [0.000, 0.500, 0.500], [0.500, 0.000, 0.500], [0.500, 0.500, 0.000], [0.500, 0.500, 0.500]]
}



(20)
{
  "formula": "Mg2TiB2Ir5",
  "functional": "GGA-PBEsol",
  "state": "relaxed",
  "formation_energy_ev_per_fu": -5.8,
  "magmom_total_mub_per_fu": 0.00,
  "density_g_cm3": 13.7,
  "final_energy_ev_per_atom": -8.0742,
  "lattice": [[9.441, 0.000, 0.000], [0.000, 9.441, 0.000], [0.000, 0.000, 2.932]],
  "species": ["Mg", "Mg", "Mg", "Mg", "Ti", "Ti", "B", "B", "B", "B", "Ir", "Ir", "Ir", "Ir", "Ir", "Ir", "Ir", "Ir", "Ir", "Ir"],
  "frac_coords": [[0.177, 0.323, 0.000], [0.323, 0.823, 0.000], [0.677, 0.177, 0.000], [0.823, 0.677, 0.000], [0.000, 0.000, 0.000], [0.500, 0.500, 0.000], [0.124, 0.624, 0.000], [0.376, 0.124, 0.000], [0.624, 0.876, 0.000], [0.876, 0.376, 0.000], [0.000, 0.500, 0.500], [0.071, 0.784, 0.500], [0.216, 0.071, 0.500], [0.284, 0.571, 0.500], [0.429, 0.284, 0.500], [0.500, 0.000, 0.500], [0.571, 0.716, 0.500], [0.716, 0.429, 0.500], [0.784, 0.929, 0.500], [0.929, 0.216, 0.500]]
}